Here is a relaxed HfZrGaTc crystal from Alexandria via LeMat-Bulk. Energies are from PBE.

Calculated values
ΔE_f (meV per atom): -517
Magnetization (μB/cell): 0.00
DOS at the Fermi energy (states/eV per cell): 1.22
Total energy (hartree per atom): -0.3120
ΔE to the lowest computed polymorph (meV per atom): 0

Cell lengths 3.356, 3.356, 6.480 Å; angles 90.00, 90.00, 90.00 degrees
Space group P4mm (No. 99)
Asymmetric unit:
Hf (0.000, 0.000, 0.000) [1 per cell]
Zr (0.000, 0.000, 0.520) [1 per cell]
Ga (0.500, 0.500, 0.257) [1 per cell]
Tc (0.500, 0.500, 0.768) [1 per cell]